No. 1
An optimized crystal structure of SrAc2Rh9. Source: the Alexandria database, functional PBE-GGA.

The structure in POSCAR format:
```
SrAc2Rh9
1.0
5.436 0.000 0.000
2.718 4.708 0.000
2.718 1.569 8.975
Sr Ac Rh
1 2 9
Direct
0.000 0.000 0.000 Sr
0.863 0.863 0.412 Ac
0.137 0.137 0.588 Ac
0.668 0.668 0.996 Rh
0.332 0.332 0.004 Rh
0.500 0.500 0.500 Rh
0.422 0.422 0.239 Rh
0.917 0.422 0.239 Rh
0.422 0.917 0.239 Rh
0.578 0.578 0.761 Rh
0.578 0.083 0.761 Rh
0.083 0.578 0.761 Rh
```

- Crystal system: trigonal
- Space-group type: No. 166
- Volume: 19.141 Å³/atom
- Energy of formation: -348.8 meV per atom

---

No. 2
An optimized crystal structure of TbSm6Th2. Source: the Alexandria database, functional PBE-GGA.

The structure in POSCAR format:
```
TbSm6Th2
1.0
-1.226 2.379 2.414
1.320 -3.168 1.101
24.491 10.825 1.770
Tb Sm Th
1 6 2
Direct
0.333 0.667 0.000 Tb
0.667 0.333 0.892 Sm
0.333 0.667 0.437 Sm
0.333 0.667 0.781 Sm
0.333 0.667 0.219 Sm
0.333 0.667 0.563 Sm
0.667 0.333 0.108 Sm
0.667 0.333 0.329 Th
0.667 0.333 0.671 Th
```

- Crystal system: hexagonal
- Space-group type: No. 187
- Volume: 33.540 Å³/atom
- Energy of formation: 72.7 meV per atom

---

No. 3
An optimized crystal structure of TmMgCd4. Source: the Alexandria database, functional PBE-GGA.

The structure in POSCAR format:
```
TmMgCd4
1.0
-4.447 -1.800 -1.024
-1.201 -1.082 -4.630
2.299 -6.188 0.836
Tm Mg Cd
1 1 4
Direct
0.251 0.747 0.998 Tm
0.251 0.748 0.498 Mg
0.584 0.080 0.246 Cd
0.585 0.081 0.750 Cd
0.919 0.414 0.750 Cd
0.918 0.414 0.247 Cd
```

- Crystal system: monoclinic
- Space-group type: No. 5
- Volume: 23.102 Å³/atom
- Excess energy over the best structure of this formula in the dataset: 0 meV per atom
- Energy of formation: -196.2 meV per atom

---

No. 4
An optimized crystal structure of Tb2CePrHg4. Source: the Alexandria database, functional PBE-GGA.

The structure in POSCAR format:
```
Tb2CePrHg4
1.0
5.371 0.000 0.000
2.685 4.651 0.000
2.685 1.550 8.768
Tb Ce Pr Hg
2 1 1 4
Direct
0.751 0.751 0.748 Tb
0.249 0.249 0.252 Tb
0.500 0.500 0.500 Ce
0.000 0.000 0.000 Pr
0.376 0.376 0.873 Hg
0.875 0.875 0.376 Hg
0.125 0.125 0.624 Hg
0.624 0.624 0.127 Hg
```

- Crystal system: trigonal
- Space-group type: No. 166
- Volume: 27.381 Å³/atom
- Energy of formation: -419.5 meV per atom

---

No. 5
An optimized crystal structure of NaCaBeGa2. Source: the Alexandria database, functional PBE-GGA.

The structure in POSCAR format:
```
NaCaBeGa2
1.0
-3.823 0.346 2.540
2.667 -0.674 4.106
0.633 4.546 0.335
Na Ca Ga Be
1 1 2 1
Direct
0.000 0.500 0.000 Na
0.500 0.500 0.500 Ca
0.000 0.000 0.500 Ga
0.500 0.000 0.000 Ga
0.000 0.000 0.000 Be
```

- Crystal system: tetragonal
- Space-group type: No. 123
- Volume: 20.941 Å³/atom
- Energy of formation: 66.9 meV per atom

---

No. 6
An optimized crystal structure of Pu2SbSe. Source: the Alexandria database, functional PBE-GGA.

The structure in POSCAR format:
```
Pu2SbSe
1.0
-3.307 2.117 1.592
-1.911 -1.389 3.517
2.802 4.282 5.766
Pu Sb Se
2 1 1
Direct
0.077 0.077 0.770 Pu
0.256 0.256 0.233 Pu
0.498 0.498 0.506 Sb
0.670 0.670 0.991 Se
```

- Crystal system: trigonal
- Space-group type: No. 160
- Volume: 28.417 Å³/atom
- E_form (uncorrected): -94.71 kJ per mole of atoms
- Excess energy over the best structure of this formula in the dataset: 87 meV per atom

---

Which of these has the highest volume?
TbSm6Th2

---

What is the volume in the fifth record?
20.941 Å³/atom

---

Among the records above, which one has the highest volume?
TbSm6Th2